No. 1
Computed, not measured: a PBEsol-optimized structure of Ca2ZrNi at the meta-GGA SCAN level of DFT.

Summary:
As for the energy relative to the lowest polymorph listed for this composition: 0.377 eV per atom. The calculated formation energy is 0.511 eV per atom. As for the volume: 23.0 Å³ per atom. As for the crystal system: monoclinic. As for the magnetization: 0.000 Bohr magnetons per cell. The density of states at the Fermi level comes out at 4.789 states/eV/f.u.

Lattice parameters (Å, degrees): 3.3829 4.6140 6.0241 90.00 101.88 90.00
With the nearest neighbours (Å) after each atom.
Fractional positions:
Ni (0.5000, 0.5000, 0.0000)  4 Ca 2.88, 2 Zr 3.01
Ca (0.9033, 0.0000, 0.2273)  2 Ni 2.88, 2 Ca 2.94-3.22
Zr (0.5000, 0.5000, 0.5000)  2 Ni 3.01, 8 Ca 3.28-3.29
Ca (0.0967, 0.0000, 0.7727)  2 Ni 2.88, 2 Ca 2.94-3.22


No. 2
Computed, not measured: a PBEsol-optimized structure of CaZrNi4 at the meta-GGA SCAN level of DFT.

Summary:
The calculated formation energy is -0.255 eV per atom. As for the volume: 13.9 Å³ per atom. As for the crystal system: cubic. As for the magnetization: 0.000 Bohr magnetons per cell. The density of states at the Fermi level comes out at 2.066 states/eV/f.u.

Lattice parameters (Å, degrees): 4.9023 4.9023 4.9023 60.00 60.00 60.00
With the nearest neighbours (Å) after each atom.
Fractional positions:
Ni (0.3750, 0.3750, 0.8750)  6 Ni 2.45
Ni (0.3750, 0.8750, 0.3750)  6 Ni 2.45
Zr (0.7500, 0.7500, 0.7500)  12 Ni 2.87, 4 Ca 3.00
Ca (0.0000, 0.0000, 0.0000)  12 Ni 2.87, 4 Zr 3.00
Ni (0.8750, 0.3750, 0.3750)  6 Ni 2.45
Ni (0.3750, 0.3750, 0.3750)  6 Ni 2.45


No. 3
Computed, not measured: a PBEsol-optimized structure of CaZrNi at the meta-GGA SCAN level of DFT.

Summary:
The calculated formation energy is -0.066 eV per atom. As for the volume: 21.9 Å³ per atom. As for the crystal system: tetragonal. As for the magnetization: 0.000 Bohr magnetons per cell. The density of states at the Fermi level comes out at 3.418 states/eV/f.u.

Lattice parameters (Å, degrees): 3.2873 3.2873 6.5035 104.64 104.64 90.00
With the nearest neighbours (Å) after each atom.
Fractional positions:
Ca (0.0186, 0.0186, 0.0372)  4 Ni 3.16, 1 Zr 3.25, 4 Ca 3.29
Zr (0.2865, 0.2865, 0.5730)  4 Ni 2.58
Ni (0.6949, 0.6949, 0.3898)  4 Zr 2.58


No. 4
Computed, not measured: a PBEsol-optimized structure of CaZr2Ni2 at the meta-GGA SCAN level of DFT.

Summary:
The calculated formation energy is 0.070 eV per atom. As for the volume: 21.2 Å³ per atom. As for the crystal system: tetragonal. As for the magnetization: 1.273 Bohr magnetons per cell. The density of states at the Fermi level comes out at 4.659 states/eV/f.u.

Lattice parameters (Å, degrees): 4.6177 4.6177 5.9545 112.81 112.81 90.00
With the nearest neighbours (Å) after each atom.
Fractional positions:
Zr (0.3458, 0.3458, 0.6916)  4 Ni 2.50
Ca (0.0000, 0.0000, 0.0000)  8 Ni 3.40, 10 Zr 3.44-3.61
Ni (0.2500, 0.7500, 0.5000)  4 Zr 2.50
Ni (0.7500, 0.2500, 0.5000)  4 Zr 2.50
Zr (0.6542, 0.6542, 0.3084)  4 Ni 2.50


No. 5
Computed, not measured: a PBEsol-optimized structure of Ca2ZrNi at the meta-GGA SCAN level of DFT.

Summary:
As for the energy relative to the lowest polymorph listed for this composition: 0.000 eV per atom. The calculated formation energy is 0.135 eV per atom. As for the volume: 24.9 Å³ per atom. As for the crystal system: orthorhombic. As for the magnetization: 0.000 Bohr magnetons per cell. The density of states at the Fermi level comes out at 4.253 states/eV/f.u.

Lattice parameters (Å, degrees): 3.4161 5.3991 6.2757 115.48 105.79 90.00
With the nearest neighbours (Å) after each atom.
Fractional positions:
Ni (0.5204, 0.5204, 0.0408)  2 Zr 2.44
Zr (0.1822, 0.6822, 0.3645)  2 Ni 2.44
Ca (0.8012, 0.3012, 0.6025)  2 Ni 2.92
Ca (0.9961, 0.9961, 0.9923)  4 Ni 3.21, 2 Zr 3.37, 4 Ca 3.42


No. 6
Computed, not measured: a PBEsol-optimized structure of CaNpP2O8 at the meta-GGA SCAN level of DFT.

Summary:
The value obtained for the uncorrected energy is -448.07 eV for the cell shown. As for the volume: 11.4 Å³ per atom. As for the crystal system: triclinic. As for the magnetization: 6.000 Bohr magnetons per cell. The density of states at the Fermi level comes out at 0.000 states/eV/f.u.

Lattice parameters (Å, degrees): 6.2904 6.5609 6.8268 88.81 88.72 76.37
With the nearest neighbours (Å) after each atom.
Fractional positions:
Np (0.6154, 0.2272, 0.8301)  9 O 2.32-2.59
O (0.7006, 0.8910, 0.7034)  1 P 1.53
O (0.8031, 0.5144, 0.6253)  1 P 1.54
O (0.2994, 0.1090, 0.2966)  1 P 1.53
O (0.0003, 0.1086, 0.6763)  1 P 1.55
O (0.0631, 0.7359, 0.0024)  1 P 1.55
P (0.1193, 0.1941, 0.8406)  4 O 1.54-1.55
P (0.8807, 0.8059, 0.1594)  4 O 1.54-1.55
P (0.3923, 0.3011, 0.3310)  4 O 1.53-1.57
O (0.9997, 0.8914, 0.3237)  1 P 1.55
O (0.7628, 0.6342, 0.2264)  1 P 1.54
O (0.9369, 0.2641, 0.9976)  1 P 1.55
O (0.4328, 0.7433, 0.5085)  1 P 1.54
O (0.6821, 0.9763, 0.0856)  1 P 1.55
O (0.1969, 0.4856, 0.3747)  1 P 1.54
P (0.6077, 0.6989, 0.6690)  4 O 1.53-1.57
O (0.5027, 0.3781, 0.1449)  1 P 1.57
O (0.4973, 0.6219, 0.8551)  1 P 1.57
Ca (0.0868, 0.7150, 0.6495)  8 O 2.41-2.52
Ca (0.9132, 0.2850, 0.3505)  8 O 2.41-2.52
O (0.3179, 0.0237, 0.9144)  1 P 1.55
O (0.5672, 0.2567, 0.4915)  1 P 1.54
O (0.2372, 0.3658, 0.7736)  1 P 1.54
Np (0.3846, 0.7728, 0.1699)  9 O 2.32-2.59


No. 7
Computed, not measured: a PBEsol-optimized structure of CaOsRuO2 at the meta-GGA SCAN level of DFT.

Summary:
The value obtained for the uncorrected energy is -126.22 eV for the cell shown. As for the volume: 17.5 Å³ per atom. As for the crystal system: tetragonal. As for the magnetization: 2.678 Bohr magnetons per cell. The density of states at the Fermi level comes out at 4.320 states/eV/f.u.

Lattice parameters (Å, degrees): 3.7738 3.7738 6.1441 90.00 90.00 90.00
With the nearest neighbours (Å) after each atom.
Fractional positions:
Os (0.5000, 0.5000, 0.5000)  4 Ca 2.67
Ru (0.0000, 0.0000, 0.0000)  4 O 1.89
O (0.0000, 0.5000, 0.0000)  2 Ru 1.89
O (0.5000, 0.0000, 0.0000)  2 Ru 1.89
Ca (0.0000, 0.0000, 0.5000)  4 Os 2.67


- The lowest volume belongs to which entry?
  CaNpP2O8


- Which of these has the lowest volume?
  CaNpP2O8


- Among the records above, which one has the highest magnetization?
  CaNpP2O8